HfTi2NbN: relaxed, GGA-PBE.

```
HfTi2NbN
1.0
4.1826 0.0000 0.0000
0.0000 4.1826 0.0000
0.0000 0.0000 4.4600
Hf Ti Nb N
1 2 1 1
direct
0.0000 0.0000 0.0000 Hf
0.0000 0.5000 0.5000 Ti
0.5000 0.0000 0.5000 Ti
0.5000 0.5000 0.0000 Nb
0.5000 0.5000 0.5000 N
```

Calculated values
crystal system = tetragonal
SG = P4/mmm
N(E_F) = 3.8 states/eV/cell
formation energy from raw total energies = -64 kJ/mol of atoms
ΔE to the lowest computed polymorph = 56 meV per atom

---

CaTh2Zr: relaxed, GGA-PBE.

```
CaTh2Zr
1.0
1.7104 0.9875 12.5176
-1.7104 0.9875 12.5176
0.0000 -1.9750 12.5176
Ca Th Zr
1 2 1
direct
0.0000 0.0000 0.0000 Ca
0.0927 0.0927 0.0927 Th
0.9073 0.9073 0.9073 Th
0.5000 0.5000 0.5000 Zr
```

Calculated values
crystal system = trigonal
SG = R-3m
N(E_F) = 6.9 states/eV/cell
ΔE_f = 0.286 eV per atom

---

Mg2NiBi2: relaxed, GGA-PBE.

```
Mg2NiBi2
1.0
7.0942 0.0000 0.0000
0.0000 7.0942 0.0000
0.0000 0.0000 4.9678
Mg Ni Bi
4 2 4
direct
0.1612 0.3388 0.0000 Mg
0.3388 0.8388 0.0000 Mg
0.6612 0.1612 0.0000 Mg
0.8388 0.6612 0.0000 Mg
0.0000 0.0000 0.5000 Ni
0.5000 0.5000 0.5000 Ni
0.1605 0.6605 0.5000 Bi
0.3395 0.1605 0.5000 Bi
0.6605 0.8395 0.5000 Bi
0.8395 0.3395 0.5000 Bi
```

Calculated values
crystal system = tetragonal
SG = P4/mbm
N(E_F) = 4.1 states/eV/cell
ΔE_f = 0.099 eV per atom
ΔE to the lowest computed polymorph = 0 meV per atom

---

Y2Re2W: relaxed, GGA-PBE.

```
Y2Re2W
1.0
-1.9965 1.9965 6.6359
1.9965 -1.9965 6.6359
1.9965 1.9965 -6.6359
Y Re W
2 2 1
direct
0.2500 0.7500 0.5000 Y
0.7500 0.2500 0.5000 Y
0.0851 0.0851 0.0000 Re
0.9149 0.9149 0.0000 Re
0.5000 0.5000 0.0000 W
```

Calculated values
crystal system = tetragonal
SG = I4/mmm
N(E_F) = 9.2 states/eV/cell
ΔE_f = 1.426 eV per atom
ΔE to the lowest computed polymorph = 1255 meV per atom

---

Cs2BaNpBr8: relaxed, GGA-PBE.

```
Cs2BaNpBr8
1.0
7.7378 0.0000 0.0000
0.0000 9.7375 0.0000
-0.3205 0.0000 7.9076
Cs Ba Np Br
2 1 1 8
direct
0.0000 0.2414 0.0000 Cs
0.0000 0.7586 0.0000 Cs
0.5000 0.5000 0.5000 Ba
0.5000 0.0000 0.5000 Np
0.1745 0.5000 0.2547 Br
0.1897 0.0000 0.3197 Br
0.3794 0.2105 0.7079 Br
0.3794 0.7895 0.7079 Br
0.6206 0.2105 0.2921 Br
0.6206 0.7895 0.2921 Br
0.8103 0.0000 0.6803 Br
0.8255 0.5000 0.7453 Br
```

Calculated values
crystal system = monoclinic
SG = P2/m
N(E_F) = 5.1 states/eV/cell
formation energy from raw total energies = -159 kJ/mol of atoms

---

PdPbS6: relaxed, GGA-PBE.

```
PdPbS6
1.0
4.7818 0.0000 0.0000
1.1267 4.7442 0.0000
0.8962 0.3477 10.4213
Pd Pb S
1 1 6
direct
0.0000 0.0000 0.0000 Pd
0.5000 0.5000 0.0000 Pb
0.1256 0.6256 0.5013 S
0.2583 0.0957 0.1719 S
0.3172 0.1203 0.8280 S
0.6828 0.8797 0.1720 S
0.7417 0.9043 0.8281 S
0.8744 0.3744 0.4987 S
```

Calculated values
crystal system = triclinic
SG = P-1
N(E_F) = 1.7 states/eV/cell
formation energy from raw total energies = -4 kJ/mol of atoms

---

SrPm2Cu6: relaxed, GGA-PBE.

```
SrPm2Cu6
1.0
6.4506 -3.7232 0.0000
6.4506 3.7232 0.0000
-0.0003 0.0000 3.8402
Sr Pm Cu
1 2 6
direct
0.0000 0.0000 0.0000 Sr
0.3339 0.3339 0.0003 Pm
0.6661 0.6661 0.9997 Pm
0.0007 0.3368 0.4967 Cu
0.3368 0.0007 0.4967 Cu
0.3368 0.6632 0.5000 Cu
0.6632 0.3368 0.5000 Cu
0.6632 0.9993 0.5033 Cu
0.9993 0.6632 0.5033 Cu
```

Calculated values
crystal system = monoclinic
SG = C2/m
N(E_F) = 4.6 states/eV/cell
ΔE_f = -0.178 eV per atom

---

BaCa2Ir: relaxed, GGA-PBE.

```
BaCa2Ir
1.0
3.5936 0.0000 0.0000
0.0000 3.5936 0.0000
0.0000 0.0000 10.3445
Ba Ca Ir
1 2 1
direct
0.0000 0.0000 0.0000 Ba
0.5000 0.5000 0.3452 Ca
0.5000 0.5000 0.6548 Ca
0.0000 0.0000 0.5000 Ir
```

Calculated values
crystal system = tetragonal
SG = P4/mmm
N(E_F) = 5.5 states/eV/cell
ΔE_f = -0.072 eV per atom
ΔE to the lowest computed polymorph = 167 meV per atom

---

TaTlReW2: relaxed, GGA-PBE.

```
TaTlReW2
1.0
4.8670 0.0000 0.0000
0.0000 4.8670 0.0000
0.0000 0.0000 4.8205
Ta Tl Re W
1 1 1 2
direct
0.0000 0.0000 0.0000 Ta
0.5000 0.5000 0.5000 Tl
0.0000 0.0000 0.5000 Re
0.0000 0.5000 0.0000 W
0.5000 0.0000 0.0000 W
```

Calculated values
crystal system = tetragonal
SG = P4/mmm
N(E_F) = 6.0 states/eV/cell
ΔE_f = 2.270 eV per atom

---

Na2Tl2Pb3: relaxed, GGA-PBE.

```
Na2Tl2Pb3
1.0
2.5979 -11.6441 0.0000
2.5979 11.6441 0.0000
0.0000 0.0000 3.4797
Na Tl Pb
2 2 3
direct
0.1492 0.8508 0.0000 Na
0.8508 0.1492 0.0000 Na
0.2868 0.7132 0.5000 Tl
0.7132 0.2868 0.5000 Tl
0.0000 0.0000 0.0000 Pb
0.4278 0.5722 0.5000 Pb
0.5722 0.4278 0.5000 Pb
```

Calculated values
crystal system = orthorhombic
SG = Cmmm
N(E_F) = 2.8 states/eV/cell
ΔE_f = -0.083 eV per atom
ΔE to the lowest computed polymorph = 0 meV per atom

---

Cs5Ge2Te6: relaxed, GGA-PBE.

```
Cs5Ge2Te6
1.0
14.8503 0.0000 0.0000
0.0000 16.8581 0.0000
0.0000 0.0000 4.9666
Cs Ge Te
10 4 12
direct
0.0000 0.0000 0.0000 Cs
0.0704 0.2526 0.0000 Cs
0.1781 0.4823 0.0000 Cs
0.3219 0.9823 0.0000 Cs
0.4296 0.7526 0.0000 Cs
0.5000 0.5000 0.0000 Cs
0.5704 0.2474 0.0000 Cs
0.6781 0.0177 0.0000 Cs
0.8219 0.5177 0.0000 Cs
0.9296 0.7474 0.0000 Cs
0.1802 0.6883 0.5000 Ge
0.3198 0.1883 0.5000 Ge
0.6802 0.8117 0.5000 Ge
0.8198 0.3117 0.5000 Ge
0.0346 0.5945 0.5000 Te
0.1715 0.0993 0.5000 Te
0.1788 0.7728 0.0000 Te
0.3212 0.2728 0.0000 Te
0.3285 0.5993 0.5000 Te
0.4654 0.0945 0.5000 Te
0.5346 0.9055 0.5000 Te
0.6715 0.4007 0.5000 Te
0.6788 0.7272 0.0000 Te
0.8212 0.2272 0.0000 Te
0.8285 0.9007 0.5000 Te
0.9654 0.4055 0.5000 Te
```

Calculated values
crystal system = orthorhombic
SG = Pbam
N(E_F) = 2.2 states/eV/cell
formation energy from raw total energies = -68 kJ/mol of atoms

---

ScTc3Sn: relaxed, GGA-PBE.

```
ScTc3Sn
1.0
4.6554 0.0000 0.0000
0.0000 4.6554 0.0000
0.0000 0.0000 4.6554
Sc Tc Sn
1 3 1
direct
0.0000 0.0000 0.0000 Sc
0.0000 0.0000 0.5000 Tc
0.0000 0.5000 0.0000 Tc
0.5000 0.0000 0.0000 Tc
0.5000 0.5000 0.5000 Sn
```

Calculated values
crystal system = cubic
SG = Pm-3m
N(E_F) = 4.4 states/eV/cell
ΔE_f = 1.541 eV per atom
ΔE to the lowest computed polymorph = 0 meV per atom